First-principles (PBE) data for a relaxed structure of NbCF2, as listed in Alexandria via LeMat-Bulk.

Cell lengths 7.987, 7.987, 3.989 Å; angles 90.00, 90.00, 90.00 degrees
Space group I-42d (No. 122)
Symmetry-distinct sites (fractional):
Nb  0.000  0.000  0.000
C  0.000  0.000  0.500
F  0.069  0.250  0.125

Calculated values
E_form (uncorrected): -779.2 meV/atom
E_tot: -6.538 eV/atom
energy relative to the lowest polymorph listed for this composition: 0 meV per atom
calculated density: 3.731 g/cm3